The following is a DFT calculation (PBE-GGA) of an optimized crystal structure of YCuGe.

Cell lengths 4.041, 4.045, 7.736 Å; angles 105.20, 74.88, 90.02 degrees
Sites, in units of the cell vectors:
Y  0.853  0.002  0.586
Y  0.527  0.328  0.238
Ge  0.060  0.795  0.172
Ge  0.695  0.660  0.901
Cu  0.308  0.547  0.676
Cu  0.187  0.168  0.919

Values from the calculation:
Electronic total energy in eV per atom: -5.445
Space-group type: No. 44
Magnetization in μB/atom: 0.00



The following is a DFT calculation (PBE-GGA) of an optimized crystal structure of BeCdIr2.

Cell lengths 4.697, 4.697, 4.697 Å; angles 130.36, 130.36, 72.84 degrees
Sites, in units of the cell vectors:
Be  0.500  0.500  0.000
Ir  0.000  0.000  0.000
Ir  0.250  0.750  0.500
Cd  0.750  0.250  0.500

Values from the calculation:
Space-group type: No. 119
Magnetization in μB/atom: 0.00
Energy above the lowest structure with this stoichiometry in meV per atom: 371.0



The following is a DFT calculation (PBE-GGA) of an optimized crystal structure of AcSmZnCd.

Cell lengths 5.479, 5.479, 5.479 Å; angles 60.00, 60.00, 60.00 degrees
Sites, in units of the cell vectors:
Ac  0.500  0.500  0.500
Zn  0.250  0.250  0.250
Sm  0.000  0.000  0.000
Cd  0.750  0.750  0.750

Values from the calculation:
Space-group type: No. 216
Magnetization in μB/atom: 0.00
Energy above the lowest structure with this stoichiometry in meV per atom: 41.9